Here is TbScHgAu after structural relaxation from Alexandria via LeMat-Bulk. Energies are from PBE-GGA.

Output
ΔE_f: -610 meV/atom
magnetic moment: 0.0 μB per formula unit
polymorph energy (0 for the lowest one): 0.08 eV per formula unit

a = 7.1550 Å, b = 7.1550 Å, c = 7.1550 Å
α = 90.00°, β = 90.00°, γ = 90.00°
Space group F-43m (No. 216)
Unique sites:
Tb1 0.0000 0.0000 0.0000 [4 per cell]
Sc1 0.0000 0.0000 0.5000 [4 per cell]
Hg1 0.2500 0.2500 0.2500 [4 per cell]
Au1 0.2500 0.2500 0.7500 [4 per cell]



Here is TbScHgAu after structural relaxation from Alexandria via LeMat-Bulk. Energies are from PBE-GGA.

Output
ΔE_f: -630 meV/atom
magnetic moment: 0.0 μB per formula unit
polymorph energy (0 for the lowest one): 0.00 eV per formula unit

a = 3.5740 Å, b = 3.5740 Å, c = 7.1244 Å
α = 90.00°, β = 90.00°, γ = 90.00°
Space group P4mm (No. 99)
Unique sites:
Tb1 0.0000 0.0000 0.0000 [1 per cell]
Sc1 0.0000 0.0000 0.5230 [1 per cell]
Hg1 0.5000 0.5000 0.2833 [1 per cell]
Au1 0.5000 0.5000 0.7372 [1 per cell]